Version i
Below is SrRu3Au after structural relaxation, with properties calculated at the GGA-PBE level.

Results
Calculated volume   24.6 Å³ per atom
Magnetization   5.48 μB/f.u.
Fermi-level density of states   7.9 states/eV/cell
Space group   No. 221

Cell and atoms, written as POSCAR:
```
SrRu3Au
1.0
4.9749 0.0000 0.0000
0.0000 4.9749 0.0000
0.0000 0.0000 4.9749
Sr Ru Au
1 3 1
direct
0.0000 0.0000 0.0000 Sr
0.0000 0.5000 0.5000 Ru
0.5000 0.0000 0.5000 Ru
0.5000 0.5000 0.0000 Ru
0.5000 0.5000 0.5000 Au
```

---

Version ii
Below is SrRu3Au after structural relaxation, with properties calculated at the GGA-PBE level.

Results
Calculated volume   22.8 Å³ per atom
Magnetization   4.83 μB/f.u.
Fermi-level density of states   4.8 states/eV/cell
Space group   No. 221

Cell and atoms, written as POSCAR:
```
SrRu3Au
1.0
4.8512 0.0000 0.0000
0.0000 4.8512 0.0000
0.0000 0.0000 4.8512
Sr Ru Au
1 3 1
direct
0.0000 0.0000 0.0000 Sr
0.0000 0.0000 0.5000 Ru
0.0000 0.5000 0.0000 Ru
0.5000 0.0000 0.0000 Ru
0.5000 0.5000 0.5000 Au
```

---

Stability check: which of them is least stable? version ii.

---

Version i
Below is Sr2Ru2Au after structural relaxation, with properties calculated at the GGA-PBE level.

Results
Calculated volume   25.2 Å³ per atom
Magnetization   1.70 μB/f.u.
Fermi-level density of states   9.6 states/eV/cell
Space group   No. 127

Cell and atoms, written as POSCAR:
```
Sr2Ru2Au
1.0
9.0838 0.0000 0.0000
0.0000 9.0838 0.0000
0.0000 0.0000 3.0522
Sr Ru Au
4 4 2
direct
0.1951 0.3049 0.0000 Sr
0.3049 0.8049 0.0000 Sr
0.6951 0.1951 0.0000 Sr
0.8049 0.6951 0.0000 Sr
0.0884 0.5884 0.5000 Ru
0.4116 0.0884 0.5000 Ru
0.5884 0.9116 0.5000 Ru
0.9116 0.4116 0.5000 Ru
0.0000 0.0000 0.0000 Au
0.5000 0.5000 0.0000 Au
```

---

Version ii
Below is Sr2Ru2Au after structural relaxation, with properties calculated at the GGA-PBE level.

Results
Calculated volume   24.5 Å³ per atom
Magnetization   0.00 μB/f.u.
Fermi-level density of states   5.6 states/eV/cell
Space group   No. 139

Cell and atoms, written as POSCAR:
```
Sr2Ru2Au
1.0
-1.7990 1.7990 9.4660
1.7990 -1.7990 9.4660
1.7990 1.7990 -9.4660
Sr Ru Au
2 2 1
direct
0.1092 0.1092 0.0000 Sr
0.8908 0.8908 0.0000 Sr
0.2500 0.7500 0.5000 Ru
0.7500 0.2500 0.5000 Ru
0.5000 0.5000 0.0000 Au
```

---

Stability check: which of them is least stable? version i.

---

Version i
Below is Ta3RuAu after structural relaxation, with properties calculated at the GGA-PBE level.

Results
Calculated volume   21.6 Å³ per atom
Magnetization   0.00 μB/f.u.
Fermi-level density of states   4.6 states/eV/cell
Space group   No. 221

Cell and atoms, written as POSCAR:
```
Ta3RuAu
1.0
4.7635 0.0000 0.0000
0.0000 4.7635 0.0000
0.0000 0.0000 4.7635
Ta Ru Au
3 1 1
direct
0.0000 0.0000 0.5000 Ta
0.0000 0.5000 0.0000 Ta
0.5000 0.0000 0.0000 Ta
0.0000 0.0000 0.0000 Ru
0.5000 0.5000 0.5000 Au
```

---

Version ii
Below is Ta3RuAu after structural relaxation, with properties calculated at the GGA-PBE level.

Results
Calculated volume   23.0 Å³ per atom
Magnetization   0.00 μB/f.u.
Fermi-level density of states   8.5 states/eV/cell
Space group   No. 221

Cell and atoms, written as POSCAR:
```
Ta3RuAu
1.0
4.8625 0.0000 0.0000
0.0000 4.8625 0.0000
0.0000 0.0000 4.8625
Ta Ru Au
3 1 1
direct
0.0000 0.0000 0.5000 Ta
0.0000 0.5000 0.0000 Ta
0.5000 0.0000 0.0000 Ta
0.5000 0.5000 0.5000 Ru
0.0000 0.0000 0.0000 Au
```

---

Stability check: which of them is least stable? version ii.

---

Version i
Below is TaRu3Au after structural relaxation, with properties calculated at the GGA-PBE level.

Results
Calculated volume   20.9 Å³ per atom
Magnetization   3.15 μB/f.u.
Fermi-level density of states   4.2 states/eV/cell
Space group   No. 221

Cell and atoms, written as POSCAR:
```
TaRu3Au
1.0
4.7076 0.0000 0.0000
0.0000 4.7076 0.0000
0.0000 0.0000 4.7076
Ta Ru Au
1 3 1
direct
0.0000 0.0000 0.0000 Ta
0.0000 0.0000 0.5000 Ru
0.0000 0.5000 0.0000 Ru
0.5000 0.0000 0.0000 Ru
0.5000 0.5000 0.5000 Au
```

---

Version ii
Below is TaRu3Au after structural relaxation, with properties calculated at the GGA-PBE level.

Results
Calculated volume   21.3 Å³ per atom
Magnetization   2.92 μB/f.u.
Fermi-level density of states   6.7 states/eV/cell
Space group   No. 221

Cell and atoms, written as POSCAR:
```
TaRu3Au
1.0
4.7402 0.0000 0.0000
0.0000 4.7402 0.0000
0.0000 0.0000 4.7402
Ta Ru Au
1 3 1
direct
0.0000 0.0000 0.0000 Ta
0.0000 0.5000 0.5000 Ru
0.5000 0.0000 0.5000 Ru
0.5000 0.5000 0.0000 Ru
0.5000 0.5000 0.5000 Au
```

---

Stability check: which of them is least stable? version ii.

---

Version i
Below is Tb4RuAu after structural relaxation, with properties calculated at the GGA-PBE level.

Results
Calculated volume   26.7 Å³ per atom
Magnetization   0.00 μB/f.u.
Fermi-level density of states   14.0 states/eV/cell
Space group   No. 15

Cell and atoms, written as POSCAR:
```
Tb4RuAu
1.0
4.4925 -6.5857 0.0000
4.4925 6.5857 0.0000
-3.2258 0.0000 5.4056
Tb Ru Au
8 2 2
direct
0.0564 0.7059 0.9113 Tb
0.2226 0.3560 0.7020 Tb
0.2941 0.9436 0.5887 Tb
0.3560 0.2226 0.2020 Tb
0.6440 0.7774 0.7980 Tb
0.7059 0.0564 0.4113 Tb
0.7774 0.6440 0.2980 Tb
0.9436 0.2941 0.0887 Tb
0.0018 0.9982 0.2500 Ru
0.9982 0.0018 0.7500 Ru
0.3688 0.6312 0.2500 Au
0.6312 0.3688 0.7500 Au
```

---

Version ii
Below is Tb4RuAu after structural relaxation, with properties calculated at the GGA-PBE level.

Results
Calculated volume   28.4 Å³ per atom
Magnetization   0.00 μB/f.u.
Fermi-level density of states   11.0 states/eV/cell
Space group   No. 14

Cell and atoms, written as POSCAR:
```
Tb4RuAu
1.0
7.1130 0.0000 0.0000
0.0000 6.9288 0.0000
-0.3923 0.0000 6.9195
Tb Ru Au
8 2 2
direct
0.1548 0.1640 0.1833 Tb
0.1548 0.3360 0.6833 Tb
0.3182 0.6607 0.1480 Tb
0.3182 0.8393 0.6480 Tb
0.6818 0.1607 0.3520 Tb
0.6818 0.3393 0.8520 Tb
0.8452 0.6640 0.3167 Tb
0.8452 0.8360 0.8167 Tb
0.0000 0.0000 0.5000 Ru
0.0000 0.5000 0.0000 Ru
0.5000 0.0000 0.0000 Au
0.5000 0.5000 0.5000 Au
```

---

Stability check: which of them is least stable? version ii.

---

Version i
Below is TbTmRuAu after structural relaxation, with properties calculated at the GGA-PBE level.

Results
Calculated volume   21.2 Å³ per atom
Magnetization   0.00 μB/f.u.
Fermi-level density of states   2.0 states/eV/cell
Space group   No. 216

Cell and atoms, written as POSCAR:
```
TbTmRuAu
1.0
0.0000 3.4843 3.4843
3.4843 0.0000 3.4843
3.4843 3.4843 0.0000
Tb Tm Ru Au
1 1 1 1
direct
0.0000 0.0000 0.0000 Tb
0.5000 0.5000 0.5000 Tm
0.2500 0.2500 0.2500 Ru
0.7500 0.7500 0.7500 Au
```

---

Version ii
Below is TbTmRuAu after structural relaxation, with properties calculated at the GGA-PBE level.

Results
Calculated volume   21.2 Å³ per atom
Magnetization   0.00 μB/f.u.
Fermi-level density of states   2.5 states/eV/cell
Space group   No. 99

Cell and atoms, written as POSCAR:
```
TbTmRuAu
1.0
3.4208 0.0000 0.0000
0.0000 3.4208 0.0000
0.0000 0.0000 7.2581
Tb Tm Ru Au
1 1 1 1
direct
0.0000 0.0000 0.0000 Tb
0.0000 0.0000 0.5402 Tm
0.5000 0.5000 0.7648 Ru
0.5000 0.5000 0.2798 Au
```

---

Stability check: which of them is least stable? version i.